ZnCoSO | PBE with a Hubbard U | optimized geometry

a = 6.4098 Å, b = 6.4098 Å, c = 5.6564 Å
α = 90.00°, β = 90.00°, γ = 149.71°
Sites, in units of the cell vectors:
Zn  0.1647  0.8353  0.5000
Zn  0.8353  0.1647  0.0000
Co  0.4357  0.5643  0.5593
Co  0.5643  0.4357  0.0593
S  0.1758  0.8242  0.9139
S  0.8242  0.1758  0.4139
O  0.4232  0.5768  0.9083
O  0.5768  0.4232  0.4083

Summary:
Total magnetization ... 3.0 μB per formula unit
Space group ... No. 36

Co2Sb2O5 | PBE with a Hubbard U | optimized geometry

a = 4.1266 Å, b = 4.1266 Å, c = 6.8696 Å
α = 90.00°, β = 90.00°, γ = 90.00°
Sites, in units of the cell vectors:
Co  0.0000  0.0000  0.0000
Co  0.0000  0.0000  0.5000
Sb  0.5000  0.5000  0.2137
Sb  0.5000  0.5000  0.7863
O  0.0000  0.5000  0.2043
O  0.0000  0.5000  0.7957
O  0.5000  0.0000  0.2043
O  0.5000  0.0000  0.7957
O  0.5000  0.5000  0.5000

Summary:
Total magnetization ... 4.9 μB per formula unit
Space group ... No. 123

Co2Sb2O7 | PBE with a Hubbard U | optimized geometry

a = 7.1063 Å, b = 7.1063 Å, c = 7.1063 Å
α = 60.00°, β = 60.00°, γ = 60.00°
Sites, in units of the cell vectors:
Co  0.0000  0.0000  0.0000
Co  0.0000  0.0000  0.5000
Co  0.0000  0.5000  0.0000
Co  0.5000  0.0000  0.0000
Sb  0.0000  0.5000  0.5000
Sb  0.5000  0.0000  0.5000
Sb  0.5000  0.5000  0.0000
Sb  0.5000  0.5000  0.5000
O  0.1250  0.1250  0.1250
O  0.1670  0.1670  0.5830
O  0.1670  0.5830  0.1670
O  0.1670  0.5830  0.5830
O  0.4170  0.4170  0.8330
O  0.4170  0.8330  0.4170
O  0.4170  0.8330  0.8330
O  0.5830  0.1670  0.1670
O  0.5830  0.1670  0.5830
O  0.5830  0.5830  0.1670
O  0.8330  0.4170  0.4170
O  0.8330  0.4170  0.8330
O  0.8330  0.8330  0.4170
O  0.8750  0.8750  0.8750

Summary:
Total magnetization ... 6.0 μB per formula unit
Space group ... No. 227

Co2Sb2O5 | PBE with a Hubbard U | optimized geometry

a = 3.8628 Å, b = 3.8628 Å, c = 7.3411 Å
α = 90.00°, β = 90.00°, γ = 90.00°
Sites, in units of the cell vectors:
Co  0.0000  0.0000  0.2302
Co  0.0000  0.0000  0.7698
Sb  0.5000  0.5000  0.0000
Sb  0.5000  0.5000  0.5000
O  0.0000  0.0000  0.5000
O  0.0000  0.5000  0.1979
O  0.0000  0.5000  0.8021
O  0.5000  0.0000  0.1979
O  0.5000  0.0000  0.8021

Summary:
Total magnetization ... 2.0 μB per formula unit
Space group ... No. 123

CoSbO3 | PBE with a Hubbard U | optimized geometry

a = 3.9857 Å, b = 3.9857 Å, c = 3.9857 Å
α = 90.00°, β = 90.00°, γ = 90.00°
Sites, in units of the cell vectors:
Co  0.0000  0.0000  0.0000
Sb  0.5000  0.5000  0.5000
O  0.0000  0.5000  0.5000
O  0.5000  0.0000  0.5000
O  0.5000  0.5000  0.0000

Summary:
Total magnetization ... 2.2 μB per formula unit
Space group ... No. 221

CoSbO3 | PBE with a Hubbard U | optimized geometry

a = 3.7340 Å, b = 3.7340 Å, c = 3.7340 Å
α = 90.00°, β = 90.00°, γ = 90.00°
Sites, in units of the cell vectors:
Co  0.0000  0.0000  0.0000
Sb  0.5000  0.5000  0.5000
O  0.0000  0.0000  0.5000
O  0.0000  0.5000  0.0000
O  0.5000  0.0000  0.0000

Summary:
Total magnetization ... 0.0 μB per formula unit
Space group ... No. 221

Sc2Co2O5 | PBE with a Hubbard U | optimized geometry

a = 3.6548 Å, b = 3.6548 Å, c = 6.3685 Å
α = 90.00°, β = 90.00°, γ = 90.00°
Sites, in units of the cell vectors:
Sc  0.0000  0.0000  0.0000
Sc  0.0000  0.0000  0.5000
Co  0.5000  0.5000  0.1892
Co  0.5000  0.5000  0.8108
O  0.0000  0.5000  0.2212
O  0.0000  0.5000  0.7788
O  0.5000  0.0000  0.2212
O  0.5000  0.0000  0.7788
O  0.5000  0.5000  0.5000

Summary:
Total magnetization ... 0.0 μB per formula unit
Space group ... No. 123

Sc2Co2O5 | PBE with a Hubbard U | optimized geometry

a = 3.7455 Å, b = 3.7455 Å, c = 7.9176 Å
α = 90.00°, β = 90.00°, γ = 90.00°
Sites, in units of the cell vectors:
Sc  0.0000  0.0000  0.2460
Sc  0.0000  0.0000  0.7540
Co  0.5000  0.5000  0.0000
Co  0.5000  0.5000  0.5000
O  0.0000  0.0000  0.5000
O  0.0000  0.5000  0.1592
O  0.0000  0.5000  0.8408
O  0.5000  0.0000  0.1592
O  0.5000  0.0000  0.8408

Summary:
Total magnetization ... 0.0 μB per formula unit
Space group ... No. 123

ScTlCoO3 | PBE with a Hubbard U | optimized geometry

a = 7.9734 Å, b = 7.9734 Å, c = 7.4418 Å
α = 90.00°, β = 90.00°, γ = 157.41°
Sites, in units of the cell vectors:
Sc  0.0000  0.0000  0.0000
Sc  0.0000  0.0000  0.5000
Tl  0.3637  0.6363  0.7500
Tl  0.6363  0.3637  0.2500
Co  0.3507  0.6493  0.2500
Co  0.6493  0.3507  0.7500
O  0.1175  0.8825  0.5830
O  0.1175  0.8825  0.9170
O  0.2342  0.7658  0.2500
O  0.7658  0.2342  0.7500
O  0.8825  0.1175  0.0830
O  0.8825  0.1175  0.4170

Summary:
Total magnetization ... 3.3 μB per formula unit
Space group ... No. 63

Co2SeO | PBE with a Hubbard U | optimized geometry

a = 3.4522 Å, b = 3.4522 Å, c = 11.7731 Å
α = 90.00°, β = 90.00°, γ = 120.00°
Sites, in units of the cell vectors:
Co  0.0000  0.0000  0.0000
Co  0.0000  0.0000  0.5000
Co  0.3333  0.6667  0.2850
Co  0.6667  0.3333  0.7850
Se  0.3333  0.6667  0.6156
Se  0.6667  0.3333  0.1156
O  0.0000  0.0000  0.3382
O  0.0000  0.0000  0.8382

Summary:
Total magnetization ... 5.6 μB per formula unit
Space group ... No. 186

Co2SeO | PBE with a Hubbard U | optimized geometry

a = 5.7723 Å, b = 3.4281 Å, c = 12.2979 Å
α = 90.00°, β = 90.00°, γ = 90.00°
Sites, in units of the cell vectors:
Co  0.1166  0.2500  0.1974
Co  0.2279  0.7500  0.4182
Co  0.2721  0.2500  0.9182
Co  0.3834  0.7500  0.6974
Co  0.6166  0.2500  0.3026
Co  0.7279  0.7500  0.0818
Co  0.7721  0.2500  0.5818
Co  0.8834  0.7500  0.8026
Se  0.2125  0.2500  0.5807
Se  0.2875  0.7500  0.0807
Se  0.7125  0.2500  0.9193
Se  0.7875  0.7500  0.4193
O  0.2141  0.7500  0.8326
O  0.2859  0.2500  0.3326
O  0.7141  0.7500  0.6674
O  0.7859  0.2500  0.1674

Summary:
Total magnetization ... 0.0 μB per formula unit
Space group ... No. 62

Co2SeO | PBE with a Hubbard U | optimized geometry

a = 6.5030 Å, b = 6.5030 Å, c = 5.7635 Å
α = 90.00°, β = 90.00°, γ = 149.31°
Sites, in units of the cell vectors:
Co  0.0506  0.9494  0.5000
Co  0.3303  0.6697  0.3899
Co  0.6697  0.3303  0.8899
Co  0.9494  0.0506  0.0000
Se  0.3330  0.6670  0.8299
Se  0.6670  0.3330  0.3299
O  0.0842  0.9158  0.8337
O  0.9158  0.0842  0.3337

Summary:
Total magnetization ... 6.0 μB per formula unit
Space group ... No. 36

The records above give, respectively, VASP energy values of -36.97, -48.52, -132.13, -48.50, -27.25, -27.55, -63.61, -63.88, -70.18, -40.19, -82.59, -40.95 eV/cell.